The following is a DFT calculation (PBE-GGA) of a relaxed structure of MoPPt2.

The structure belongs to space group F-43m (No. 216); the cell edges are 6.230, 6.230 and 6.230 Å and the angles 90.00°, 90.00° and 90.00°. The asymmetric unit holds Mo at (0.000, 0.000, 0.000), P at (0.250, 0.250, 0.250), Pt at (0.000, 0.000, 0.500) and Pt at (0.250, 0.250, 0.750).

=====

The following is a DFT calculation (PBE-GGA) of a relaxed structure of MoP2Pt.

The structure belongs to space group Cm (No. 8); the cell edges are 9.289, 3.167 and 4.027 Å and the angles 90.00°, 102.67° and 90.00°. The asymmetric unit holds Mo at (0.000, 0.000, 0.000), P at (0.037, 0.500, 0.519), P at (0.285, 0.000, 0.907) and Pt at (0.270, 0.500, 0.393).

=====

The following is a DFT calculation (PBE-GGA) of a relaxed structure of MoP3Pt.

The offset from the most stable computed form comes out at 0.000 eV/atom.

The structure belongs to space group Pm-3m (No. 221); the cell edges are 4.618, 4.618 and 4.618 Å and the angles 90.00°, 90.00° and 90.00°. The asymmetric unit holds Mo at (0.000, 0.000, 0.000), P at (0.000, 0.000, 0.500) and Pt at (0.500, 0.500, 0.500).

=====

The following is a DFT calculation (PBE-GGA) of a relaxed structure of MoP2Pt.

The structure belongs to space group C2/m (No. 12); the cell edges are 5.866, 8.052 and 2.883 Å and the angles 90.00°, 117.89° and 90.00°. The asymmetric unit holds Mo at (0.000, 0.000, 0.000), P at (0.250, 0.250, 0.000) and Pt at (0.000, 0.500, 0.000).

=====

The following is a DFT calculation (PBE-GGA) of a relaxed structure of MoPPt3.

The offset from the most stable computed form comes out at 1.006 eV/atom.

The structure belongs to space group Pm-3m (No. 221); the cell edges are 4.805, 4.805 and 4.805 Å and the angles 90.00°, 90.00° and 90.00°. The asymmetric unit holds Mo at (0.000, 0.000, 0.000), P at (0.500, 0.500, 0.500) and Pt at (0.000, 0.000, 0.500).

=====

The following is a DFT calculation (PBE-GGA) of a relaxed structure of MoP2Pt.

The structure belongs to space group C2/m (No. 12); the cell edges are 8.143, 3.095 and 4.993 Å and the angles 90.00°, 91.74° and 90.00°. The asymmetric unit holds Mo at (0.000, 0.000, 0.000), P at (0.212, 0.500, 0.820) and Pt at (0.000, 0.500, 0.500).

=====

Number 1: density of states at the Fermi level 4.28 states/eV/f.u., DFT total energy -113.82 eV per cell, energy of formation -0.03 eV/atom. Number 2: density of states at the Fermi level 1.15 states/eV/f.u., DFT total energy -57.45 eV per cell, energy of formation -0.26 eV/atom. Number 3: density of states at the Fermi level 2.01 states/eV/f.u., DFT total energy -29.33 eV per cell, energy of formation 0.75 eV/atom. Number 4: density of states at the Fermi level 2.05 states/eV/f.u., DFT total energy -54.42 eV per cell, energy of formation 0.12 eV/atom. Number 5: density of states at the Fermi level 6.13 states/eV/f.u., DFT total energy -27.02 eV per cell, energy of formation 1.47 eV/atom. Number 6: density of states at the Fermi level 2.83 states/eV/f.u., DFT total energy -56.59 eV per cell, energy of formation -0.15 eV/atom.